The following is a GGA+U calculation of TaV2ZnO6 after structural relaxation, from Alexandria.

POSCAR file:
```
TaV2ZnO6
1.0
2.634 1.521 4.821
-2.634 1.521 4.821
0.000 -3.041 4.821
Ta V Zn O
1 2 1 6
Direct
0.000 0.000 0.000
0.302 0.302 0.302
0.798 0.798 0.798
0.533 0.533 0.533
0.056 0.727 0.390
0.182 0.608 0.899
0.390 0.056 0.727
0.608 0.899 0.182
0.727 0.390 0.056
0.899 0.182 0.608
```

E	-79.1	eV/cell
total magnetization	0.50	μB per atom